# 1
Material: Li2MnAg
Method: DFT, PBE-GGA
State: optimized geometry

abc: 2.7690 2.7690 9.0947
angles: 90.00 90.00 112.08
Site moments in Bohr magnetons follow the coordinates.
Positions (direct):
Ag1 0.5000 0.5000 0.7500  0.00
Li1 0.0000 0.0000 0.5011  -0.03
Li2 0.0000 0.0000 0.9989  -0.03
Mn1 0.5000 0.5000 0.2500  3.62

Calculated values
- DFT total energy (eV per atom) = -3.80
- DOS at the Fermi energy (states/eV/cell) = 2.8

# 2
Material: LiMn2Ag
Method: DFT, PBE-GGA
State: optimized geometry

abc: 5.3801 5.3801 2.7553
angles: 77.71 77.71 120.47
Site moments in Bohr magnetons follow the coordinates.
Positions (direct):
Ag1 0.5000 0.0000 0.5000  0.03
Li1 0.0000 0.5000 0.5000  -0.04
Mn1 0.0000 0.0000 0.0000  3.53
Mn2 0.5000 0.5000 0.0000  3.53

Calculated values
- DFT total energy (eV per atom) = -5.43
- DOS at the Fermi energy (states/eV/cell) = 3.5

# 3
Material: LiMnAg2
Method: DFT, PBE-GGA
State: optimized geometry

abc: 3.2678 3.1601 7.0749
angles: 63.36 90.00 90.00
Site moments in Bohr magnetons follow the coordinates.
Positions (direct):
Mn1 0.5000 0.7500 0.7500  3.95
Li1 0.5000 0.2500 0.2500  0.00
Ag1 0.0000 0.9919 0.0072  0.03
Ag2 0.0000 0.5081 0.4928  0.03

Calculated values
- DFT total energy (eV per atom) = -4.13
- DOS at the Fermi energy (states/eV/cell) = 1.8

# 4
Material: LiMn2Ag
Method: DFT, PBE-GGA
State: optimized geometry

abc: 4.3996 4.3996 4.3996
angles: 60.00 60.00 60.00
Site moments in Bohr magnetons follow the coordinates.
Positions (direct):
Li1 0.2500 0.2500 0.2500  -0.01
Mn1 0.0000 0.0000 0.0000  -3.66
Mn2 0.7500 0.7500 0.7500  3.56
Ag1 0.5000 0.5000 0.5000  0.05

Calculated values
- DFT total energy (eV per atom) = -5.53
- DOS at the Fermi energy (states/eV/cell) = 4.8

# 5
Material: LiMnAg2
Method: DFT, PBE-GGA
State: optimized geometry

abc: 3.9342 3.9342 9.8376
angles: 78.47 78.47 90.00
Site moments in Bohr magnetons follow the coordinates.
Positions (direct):
Mn1 0.7500 0.2500 0.5000  4.05
Mn2 0.0000 0.0000 0.0000  4.05
Ag1 0.3750 0.3779 0.7500  0.03
Ag2 0.6221 0.1250 0.2500  0.03
Li1 0.2500 0.7500 0.5000  -0.01
Li2 0.5000 0.5000 0.0000  -0.01
Ag3 0.1279 0.6250 0.2500  0.03
Ag4 0.8750 0.8721 0.7500  0.03

Calculated values
- DFT total energy (eV per atom) = -3.81
- DOS at the Fermi energy (states/eV/cell) = 7.7

# 6
Material: Li4MnAg
Method: DFT, PBE-GGA
State: optimized geometry

abc: 5.0904 5.0904 5.0904
angles: 60.00 60.00 60.00
Site moments in Bohr magnetons follow the coordinates.
Positions (direct):
Li1 0.8755 0.3748 0.3748  -0.05
Li2 0.3748 0.8755 0.3748  -0.05
Mn1 0.7500 0.7500 0.7500  3.97
Ag1 0.0000 0.0000 0.0000  0.00
Li3 0.3748 0.3748 0.3748  -0.05
Li4 0.3748 0.3748 0.8755  -0.05

Calculated values
- DFT total energy (eV per atom) = -3.09
- DOS at the Fermi energy (states/eV/cell) = 4.4

# 7
Material: LiMnAg2
Method: DFT, PBE-GGA
State: optimized geometry

abc: 9.0668 9.0668 9.0668
angles: 18.69 18.69 18.69
Site moments in Bohr magnetons follow the coordinates.
Positions (direct):
Ag1 0.5006 0.5006 0.5006  0.02
Mn1 0.7500 0.7500 0.7500  3.80
Ag2 0.9994 0.9994 0.9994  0.02
Li1 0.2500 0.2500 0.2500  0.00

Calculated values
- DFT total energy (eV per atom) = -4.06
- DOS at the Fermi energy (states/eV/cell) = 2.6

# 8
Material: LiMnAg
Method: DFT, PBE-GGA
State: optimized geometry

abc: 4.4536 4.4536 2.7800
angles: 90.00 90.00 120.00
Site moments in Bohr magnetons follow the coordinates.
Positions (direct):
Ag1 0.0000 0.0000 0.0494  0.04
Mn1 0.6667 0.3333 0.6309  3.84
Li1 0.3333 0.6667 0.3197  -0.02

Calculated values
- relative energy among the computed polymorphs (meV per atom) = 20.7
- DOS at the Fermi energy (states/eV/cell) = 2.8

# 9
Material: LiMnAg2
Method: DFT, PBE-GGA
State: optimized geometry

abc: 2.8895 2.8895 8.0379
angles: 90.00 90.00 90.00
Site moments in Bohr magnetons follow the coordinates.
Positions (direct):
Ag1 0.5000 0.5000 0.2611  0.00
Mn1 0.5000 0.5000 0.7502  3.84
Ag2 0.0000 0.0000 0.9937  0.02
Li1 0.0000 0.0000 0.4951  -0.02

Calculated values
- DFT total energy (eV per atom) = -4.02
- DOS at the Fermi energy (states/eV/cell) = 2.0

# 10
Material: Li2MnAg
Method: DFT, PBE-GGA
State: optimized geometry

abc: 2.8496 4.0125 5.7580
angles: 90.00 90.00 90.00
Site moments in Bohr magnetons follow the coordinates.
Positions (direct):
Ag1 0.5000 0.5000 0.7459  0.03
Li1 0.5000 0.5000 0.2492  -0.03
Li2 0.0000 0.0000 0.9946  -0.03
Mn1 0.0000 0.0000 0.5103  3.84

Calculated values
- DFT total energy (eV per atom) = -3.82
- DOS at the Fermi energy (states/eV/cell) = 2.4

# 11
Material: LiMnAg2
Method: DFT, PBE-GGA
State: optimized geometry

abc: 6.6935 4.7865 2.9047
angles: 89.89 64.50 124.34
Site moments in Bohr magnetons follow the coordinates.
Positions (direct):
Li1 0.0000 0.5000 0.5000  -0.03
Ag1 0.5000 0.0000 0.5000  0.02
Ag2 0.0000 0.0000 0.0000  0.02
Mn1 0.5000 0.5000 0.0000  3.79

Calculated values
- DFT total energy (eV per atom) = -4.13
- DOS at the Fermi energy (states/eV/cell) = 2.0

# 12
Material: LiMn2Ag
Method: DFT, PBE-GGA
State: optimized geometry

abc: 3.2300 3.2300 6.1168
angles: 90.00 90.00 90.00
Site moments in Bohr magnetons follow the coordinates.
Positions (direct):
Mn1 0.0000 0.0000 0.9894  3.86
Mn2 0.0000 0.0000 0.5106  3.86
Ag1 0.5000 0.5000 0.2500  0.06
Li1 0.5000 0.5000 0.7500  -0.06

Calculated values
- DFT total energy (eV per atom) = -5.37
- DOS at the Fermi energy (states/eV/cell) = 3.1

# 13
Material: LiMn3Ag
Method: DFT, PBE-GGA
State: optimized geometry

abc: 4.9923 4.9923 4.9923
angles: 90.00 90.00 90.00
Site moments in Bohr magnetons follow the coordinates.
Positions (direct):
Mn1 0.5000 0.0000 0.0000  3.99
Ag1 0.0000 0.0000 0.0000  0.11
Mn2 0.0000 0.0000 0.5000  4.21
Li1 0.5000 0.5000 0.5000  -0.03
Mn3 0.0000 0.5000 0.0000  4.16

Calculated values
- relative energy among the computed polymorphs (meV per atom) = 33.2
- DOS at the Fermi energy (states/eV/cell) = 3.5

# 14
Material: Li2MnAg
Method: DFT, PBE-GGA
State: optimized geometry

abc: 4.8572 4.8572 4.8572
angles: 131.16 131.11 71.60
Site moments in Bohr magnetons follow the coordinates.
Positions (direct):
Li1 0.9999 0.9999 0.0000  -0.04
Ag1 0.2499 0.7499 0.5000  0.03
Li2 0.7501 0.2501 0.5000  -0.02
Mn1 0.5000 0.5000 0.0000  3.92

Calculated values
- DFT total energy (eV per atom) = -3.84
- DOS at the Fermi energy (states/eV/cell) = 2.1

# 15
Material: Li2MnAg
Method: DFT, PBE-GGA
State: optimized geometry

abc: 4.9343 4.9343 2.8153
angles: 90.00 90.00 111.38
Site moments in Bohr magnetons follow the coordinates.
Positions (direct):
Li1 0.0000 0.0000 0.0000  -0.03
Mn1 0.5000 0.0000 0.5000  3.76
Ag1 0.0000 0.5000 0.5000  0.02
Li2 0.5000 0.5000 0.0000  -0.03

Calculated values
- DFT total energy (eV per atom) = -3.80
- DOS at the Fermi energy (states/eV/cell) = 2.2

# 16
Material: Li2MnAg
Method: DFT, PBE-GGA
State: optimized geometry

abc: 5.2281 5.2281 5.2281
angles: 143.93 129.41 63.70
Site moments in Bohr magnetons follow the coordinates.
Positions (direct):
Li1 0.4932 0.4932 0.0000  -0.04
Li2 0.0068 0.0068 0.0000  -0.04
Mn1 0.7500 0.2500 0.5000  3.86
Ag1 0.2500 0.7500 0.5000  0.03

Calculated values
- DFT total energy (eV per atom) = -3.83
- DOS at the Fermi energy (states/eV/cell) = 1.8

# 17
Material: LiMnAg2
Method: DFT, PBE-GGA
State: optimized geometry

abc: 2.8047 2.8047 9.2829
angles: 90.00 90.00 113.11
Site moments in Bohr magnetons follow the coordinates.
Positions (direct):
Li1 0.0000 0.0000 0.5006  -0.02
Ag1 0.5000 0.5000 0.2605  0.00
Ag2 0.0000 0.0000 0.9928  0.01
Mn1 0.5000 0.5000 0.7461  3.68

Calculated values
- DFT total energy (eV per atom) = -4.00
- DOS at the Fermi energy (states/eV/cell) = 2.4

# 18
Material: LiMn2Ag
Method: DFT, PBE-GGA
State: optimized geometry

abc: 9.0530 9.0530 9.0530
angles: 17.47 17.47 17.47
Site moments in Bohr magnetons follow the coordinates.
Positions (direct):
Mn1 0.2572 0.2572 0.2572  -2.75
Li1 0.7467 0.7467 0.7467  -0.02
Ag1 0.5014 0.5014 0.5014  0.03
Mn2 0.9947 0.9947 0.9947  2.65

Calculated values
- DFT total energy (eV per atom) = -5.52
- DOS at the Fermi energy (states/eV/cell) = 3.1

# 19
Material: Li2MnAg
Method: DFT, PBE-GGA
State: optimized geometry

abc: 7.1453 7.1453 5.7290
angles: 51.42 51.42 90.00
Site moments in Bohr magnetons follow the coordinates.
Positions (direct):
Mn1 0.2500 0.7500 0.5000  4.01
Mn2 0.5000 0.5000 0.0000  4.01
Li1 0.1128 0.6250 0.2500  -0.02
Li2 0.6372 0.1250 0.2500  -0.02
Li3 0.8750 0.8872 0.7500  -0.02
Ag1 0.7500 0.2500 0.5000  0.03
Ag2 0.0000 0.0000 0.0000  0.03
Li4 0.3750 0.3628 0.7500  -0.02

Calculated values
- DFT total energy (eV per atom) = -3.63
- DOS at the Fermi energy (states/eV/cell) = 7.4

# 20
Material: LiMn2Ag
Method: DFT, PBE-GGA
State: optimized geometry

abc: 4.8408 4.8408 4.8408
angles: 131.11 131.28 71.50
Site moments in Bohr magnetons follow the coordinates.
Positions (direct):
Li1 0.2499 0.7499 0.5000  -0.05
Ag1 0.5003 0.5003 0.0000  0.05
Mn1 0.9998 0.9998 0.0000  3.77
Mn2 0.7500 0.2500 0.5000  3.77

Calculated values
- DFT total energy (eV per atom) = -5.41
- DOS at the Fermi energy (states/eV/cell) = 3.8